(1)
Entry from the Alexandria database: a geometry-optimized TaRe2Ru structure (PBE).

Unit cell a=4.489 b=4.489 c=3.087 alpha=90.00 beta=90.00 gamma=90.00
Fractional coordinates of all 4 atoms:
Ta1 0.000 0.000 0.000
Re1 0.000 0.500 0.500
Re2 0.500 0.000 0.500
Ru1 0.500 0.500 0.000

Values from the calculation:
- M_tot (Bohr magnetons per cell) = 0.0
- space group = P4/mmm, No. 123
- E_form (eV per atom) = 0.092
- volume (Å³ per cell) = 62



(2)
Entry from the Alexandria database: a geometry-optimized TaRe2Ru structure (PBE).

Unit cell a=9.248 b=2.813 c=4.850 alpha=90.00 beta=99.60 gamma=90.00
Fractional coordinates of all 8 atoms:
Ta1 0.000 0.000 0.000
Ta2 0.500 0.500 0.000
Re1 0.006 0.500 0.503
Re2 0.262 0.500 0.285
Re3 0.506 0.000 0.503
Re4 0.762 0.000 0.285
Ru1 0.246 0.000 0.758
Ru2 0.746 0.500 0.758

Values from the calculation:
- M_tot (Bohr magnetons per cell) = 0.0
- space group = Cm, No. 8
- E_form (eV per atom) = 0.012
- volume (Å³ per cell) = 124



(3)
Entry from the Alexandria database: a geometry-optimized TaRe2Ru structure (PBE).

Unit cell a=5.779 b=5.779 c=11.242 alpha=90.00 beta=90.00 gamma=90.00
Fractional coordinates of all 16 atoms:
Ta1 0.000 0.000 0.000
Ta2 0.000 0.500 0.250
Ta3 0.500 0.000 0.750
Ta4 0.500 0.500 0.500
Re1 0.222 0.250 0.625
Re2 0.250 0.722 0.875
Re3 0.250 0.778 0.375
Re4 0.278 0.250 0.125
Re5 0.722 0.750 0.125
Re6 0.750 0.222 0.375
Re7 0.750 0.278 0.875
Re8 0.778 0.750 0.625
Ru1 0.000 0.000 0.500
Ru2 0.000 0.500 0.750
Ru3 0.500 0.000 0.250
Ru4 0.500 0.500 0.000

Values from the calculation:
- M_tot (Bohr magnetons per cell) = 0.0
- space group = I-42d, No. 122
- E_form (eV per atom) = 1.725
- volume (Å³ per cell) = 375



(4)
Entry from the Alexandria database: a geometry-optimized TaRe2Ru structure (PBE).

Unit cell a=2.751 b=2.751 c=8.223 alpha=90.00 beta=90.00 gamma=90.00
Fractional coordinates of all 4 atoms:
Ta1 0.000 0.000 0.000
Re1 0.500 0.500 0.271
Re2 0.500 0.500 0.729
Ru1 0.000 0.000 0.500

Values from the calculation:
- M_tot (Bohr magnetons per cell) = 0.0
- space group = P4/mmm, No. 123
- E_form (eV per atom) = 0.021
- volume (Å³ per cell) = 62



(5)
Entry from the Alexandria database: a geometry-optimized TaReTcRu structure (PBE).

Unit cell a=6.288 b=6.288 c=6.288 alpha=90.00 beta=90.00 gamma=90.00
Fractional coordinates of all 16 atoms:
Ta1 0.000 0.000 0.000
Ta2 0.000 0.500 0.500
Ta3 0.500 0.000 0.500
Ta4 0.500 0.500 0.000
Re1 0.250 0.250 0.250
Re2 0.250 0.750 0.750
Re3 0.750 0.250 0.750
Re4 0.750 0.750 0.250
Tc1 0.000 0.000 0.500
Tc2 0.000 0.500 0.000
Tc3 0.500 0.000 0.000
Tc4 0.500 0.500 0.500
Ru1 0.250 0.250 0.750
Ru2 0.250 0.750 0.250
Ru3 0.750 0.250 0.250
Ru4 0.750 0.750 0.750

Values from the calculation:
- M_tot (Bohr magnetons per cell) = 5.1
- space group = F-43m, No. 216
- E_form (eV per atom) = 0.064
- volume (Å³ per cell) = 249



(6)
Entry from the Alexandria database: a geometry-optimized TaReTeRu2 structure (PBE).

Unit cell a=4.639 b=4.639 c=5.041 alpha=90.00 beta=90.00 gamma=90.00
Fractional coordinates of all 5 atoms:
Ta1 0.000 0.000 0.000
Re1 0.500 0.500 0.500
Te1 0.500 0.500 0.000
Ru1 0.000 0.500 0.500
Ru2 0.500 0.000 0.500

Values from the calculation:
- M_tot (Bohr magnetons per cell) = 0.0
- space group = P4/mmm, No. 123
- ΔE_f (raw) (eV per atom) = 1.740
- volume (Å³ per cell) = 108



(7)
Entry from the Alexandria database: a geometry-optimized TaTiReRu structure (PBE).

Unit cell a=6.294 b=6.294 c=6.294 alpha=90.00 beta=90.00 gamma=90.00
Fractional coordinates of all 16 atoms:
Ta1 0.000 0.000 0.000
Ta2 0.000 0.500 0.500
Ta3 0.500 0.000 0.500
Ta4 0.500 0.500 0.000
Ti1 0.000 0.000 0.500
Ti2 0.000 0.500 0.000
Ti3 0.500 0.000 0.000
Ti4 0.500 0.500 0.500
Re1 0.250 0.250 0.250
Re2 0.250 0.750 0.750
Re3 0.750 0.250 0.750
Re4 0.750 0.750 0.250
Ru1 0.250 0.250 0.750
Ru2 0.250 0.750 0.250
Ru3 0.750 0.250 0.250
Ru4 0.750 0.750 0.750

Values from the calculation:
- M_tot (Bohr magnetons per cell) = 0.0
- space group = F-43m, No. 216
- E_form (eV per atom) = -0.544
- volume (Å³ per cell) = 249



(8)
Entry from the Alexandria database: a geometry-optimized TaTiReRu structure (PBE).

Unit cell a=3.149 b=3.149 c=6.282 alpha=90.00 beta=90.00 gamma=90.00
Fractional coordinates of all 4 atoms:
Ta1 0.000 0.000 0.000
Ti1 0.000 0.000 0.496
Re1 0.500 0.500 0.251
Ru1 0.500 0.500 0.744

Values from the calculation:
- M_tot (Bohr magnetons per cell) = 0.0
- space group = P4mm, No. 99
- E_form (eV per atom) = -0.549
- volume (Å³ per cell) = 62



(9)
Entry from the Alexandria database: a geometry-optimized TmTaReRu structure (PBE).

Unit cell a=6.524 b=6.524 c=6.524 alpha=90.00 beta=90.00 gamma=90.00
Fractional coordinates of all 16 atoms:
Tm1 0.000 0.000 0.000
Tm2 0.000 0.500 0.500
Tm3 0.500 0.000 0.500
Tm4 0.500 0.500 0.000
Ta1 0.000 0.000 0.500
Ta2 0.000 0.500 0.000
Ta3 0.500 0.000 0.000
Ta4 0.500 0.500 0.500
Re1 0.250 0.250 0.750
Re2 0.250 0.750 0.250
Re3 0.750 0.250 0.250
Re4 0.750 0.750 0.750
Ru1 0.250 0.250 0.250
Ru2 0.250 0.750 0.750
Ru3 0.750 0.250 0.750
Ru4 0.750 0.750 0.250

Values from the calculation:
- M_tot (Bohr magnetons per cell) = 0.0
- space group = F-43m, No. 216
- E_form (eV per atom) = -0.229
- volume (Å³ per cell) = 278



(10)
Entry from the Alexandria database: a geometry-optimized TaV2ReRu structure (PBE).

Unit cell a=4.355 b=4.355 c=4.852 alpha=90.00 beta=90.00 gamma=90.00
Fractional coordinates of all 5 atoms:
Ta1 0.000 0.000 0.000
V1 0.000 0.500 0.500
V2 0.500 0.000 0.500
Re1 0.500 0.500 0.000
Ru1 0.000 0.000 0.500

Values from the calculation:
- M_tot (Bohr magnetons per cell) = 0.2
- space group = P4/mmm, No. 123
- E_form (eV per atom) = 1.370
- volume (Å³ per cell) = 92



(11)
Entry from the Alexandria database: a geometry-optimized TaVReRu structure (PBE).

Unit cell a=6.233 b=6.233 c=6.233 alpha=90.00 beta=90.00 gamma=90.00
Fractional coordinates of all 16 atoms:
Ta1 0.000 0.000 0.000
Ta2 0.000 0.500 0.500
Ta3 0.500 0.000 0.500
Ta4 0.500 0.500 0.000
V1 0.000 0.000 0.500
V2 0.000 0.500 0.000
V3 0.500 0.000 0.000
V4 0.500 0.500 0.500
Re1 0.250 0.250 0.250
Re2 0.250 0.750 0.750
Re3 0.750 0.250 0.750
Re4 0.750 0.750 0.250
Ru1 0.250 0.250 0.750
Ru2 0.250 0.750 0.250
Ru3 0.750 0.250 0.250
Ru4 0.750 0.750 0.750

Values from the calculation:
- M_tot (Bohr magnetons per cell) = 0.0
- space group = F-43m, No. 216
- E_form (eV per atom) = -0.297
- volume (Å³ per cell) = 242



(12)
Entry from the Alexandria database: a geometry-optimized ZrTaReRu structure (PBE).

Unit cell a=6.471 b=6.471 c=6.471 alpha=90.00 beta=90.00 gamma=90.00
Fractional coordinates of all 16 atoms:
Zr1 0.000 0.000 0.000
Zr2 0.000 0.500 0.500
Zr3 0.500 0.000 0.500
Zr4 0.500 0.500 0.000
Ta1 0.000 0.000 0.500
Ta2 0.000 0.500 0.000
Ta3 0.500 0.000 0.000
Ta4 0.500 0.500 0.500
Re1 0.250 0.250 0.750
Re2 0.250 0.750 0.250
Re3 0.750 0.250 0.250
Re4 0.750 0.750 0.750
Ru1 0.250 0.250 0.250
Ru2 0.250 0.750 0.750
Ru3 0.750 0.250 0.750
Ru4 0.750 0.750 0.250

Values from the calculation:
- M_tot (Bohr magnetons per cell) = 0.0
- space group = F-43m, No. 216
- E_form (eV per atom) = -0.439
- volume (Å³ per cell) = 271